--- w ---
! Pm3Zn4Ni4, relaxed, DFT PBE-GGA; values from VASP
&SYSTEM
  ibrav = 0, nat = 11, ntyp = 3
/
ATOMIC_SPECIES
Zn 65.41 Zn.upf
Ni 58.69 Ni.upf
Pm 145.00 Pm.upf
ATOMIC_POSITIONS crystal
Zn 0.670 0.481 0.341
Ni 0.782 0.282 0.563
Zn 0.670 0.859 0.341
Pm 0.872 0.872 0.743
Ni 0.500 0.824 0.000
Zn 0.330 0.519 0.659
Pm 0.128 0.128 0.257
Ni 0.218 0.718 0.437
Pm 0.000 0.500 0.000
Zn 0.330 0.141 0.659
Ni 0.500 0.176 0.000
CELL_PARAMETERS angstrom
3.925 0.000 -0.976
-0.868 6.176 -3.488
-0.100 0.357 7.977
! D(E_F)   0.60 states/eV per atom
! Total magnetization   0.00 μB per cell
! Density   7.8 g cm⁻³

---

--- x ---
! Pm3Zn4Ni4, relaxed, DFT PBE-GGA; values from VASP
&SYSTEM
  ibrav = 0, nat = 11, ntyp = 3
/
ATOMIC_SPECIES
Zn 65.41 Zn.upf
Pm 145.00 Pm.upf
Ni 58.69 Ni.upf
ATOMIC_POSITIONS crystal
Zn 0.250 0.251 0.499
Pm 0.149 0.650 0.701
Ni 0.690 0.191 0.618
Zn 0.750 0.749 0.501
Pm 0.851 0.350 0.299
Pm 0.000 0.000 0.000
Ni 0.547 0.546 0.910
Zn 0.597 0.097 0.806
Ni 0.310 0.809 0.382
Zn 0.403 0.903 0.194
Ni 0.453 0.454 0.090
CELL_PARAMETERS angstrom
3.872 -0.001 0.004
0.000 4.030 -0.001
1.934 1.990 13.079
! D(E_F)   0.69 states/eV per atom
! Total magnetization   0.00 μB per cell
! Density   7.6 g cm⁻³

---

Which of them is most stable? Easy: w.

---

--- w ---
! Pm3ZnNi3, relaxed, DFT PBE-GGA; values from VASP
&SYSTEM
  ibrav = 0, nat = 14, ntyp = 3
/
ATOMIC_SPECIES
Ni 58.69 Ni.upf
Pm 145.00 Pm.upf
Zn 65.41 Zn.upf
ATOMIC_POSITIONS crystal
Ni 0.214 0.428 0.250
Ni 0.786 0.572 0.750
Ni 0.079 0.158 0.411
Pm 0.509 0.018 0.250
Pm 0.209 0.418 0.604
Pm 0.209 0.418 0.896
Pm 0.791 0.582 0.104
Ni 0.921 0.842 0.911
Pm 0.791 0.582 0.396
Zn 0.500 0.000 0.000
Zn 0.500 0.000 0.500
Ni 0.079 0.158 0.089
Ni 0.921 0.842 0.589
Pm 0.491 0.982 0.750
CELL_PARAMETERS angstrom
-1.425 -3.971 -0.288
0.859 1.569 5.155
-12.513 4.437 0.734
! D(E_F)   0.76 states/eV per atom
! Total magnetization   0.00 μB per cell
! Density   7.9 g cm⁻³

---

--- x ---
! Pm3ZnNi3, relaxed, DFT PBE-GGA; values from VASP
&SYSTEM
  ibrav = 0, nat = 14, ntyp = 3
/
ATOMIC_SPECIES
Ni 58.69 Ni.upf
Zn 65.41 Zn.upf
Pm 145.00 Pm.upf
ATOMIC_POSITIONS crystal
Ni 0.250 0.371 0.053
Zn 0.250 0.667 0.333
Ni 0.250 0.682 0.629
Ni 0.750 0.053 0.682
Pm 0.750 0.357 0.054
Ni 0.750 0.629 0.947
Ni 0.250 0.947 0.318
Pm 0.750 0.946 0.303
Pm 0.250 0.643 0.946
Zn 0.750 0.333 0.667
Pm 0.250 0.054 0.697
Ni 0.750 0.318 0.371
Pm 0.750 0.697 0.643
Pm 0.250 0.303 0.357
CELL_PARAMETERS angstrom
-2.436 -4.298 -2.461
7.512 -3.295 -1.681
-3.895 -1.895 7.166
! D(E_F)   0.58 states/eV per atom
! Total magnetization   0.00 μB per cell
! Density   6.7 g cm⁻³

---

Which of them is most stable? Easy: w.

---

--- w ---
! Pm2ZnNi2, relaxed, DFT PBE-GGA; values from VASP
&SYSTEM
  ibrav = 0, nat = 5, ntyp = 3
/
ATOMIC_SPECIES
Ni 58.69 Ni.upf
Pm 145.00 Pm.upf
Zn 65.41 Zn.upf
ATOMIC_POSITIONS crystal
Ni 0.000 0.766 0.734
Ni 0.000 0.234 0.266
Pm 0.299 0.201 0.701
Pm 0.701 0.799 0.299
Zn 0.500 0.500 0.000
CELL_PARAMETERS angstrom
3.967 0.000 1.690
1.222 4.596 2.633
0.028 0.084 5.436
! D(E_F)   0.76 states/eV per atom
! Total magnetization   0.00 μB per cell
! Density   8.0 g cm⁻³

---

--- x ---
! Pm2ZnNi2, relaxed, DFT PBE-GGA; values from VASP
&SYSTEM
  ibrav = 0, nat = 10, ntyp = 3
/
ATOMIC_SPECIES
Pm 145.00 Pm.upf
Ni 58.69 Ni.upf
Zn 65.41 Zn.upf
ATOMIC_POSITIONS crystal
Pm 0.201 0.506 0.647
Pm 0.494 0.799 0.853
Ni 0.281 0.998 0.494
Ni 0.002 0.719 0.006
Zn 0.853 0.147 0.750
Pm 0.506 0.201 0.147
Ni 0.998 0.281 0.994
Ni 0.719 0.002 0.506
Pm 0.799 0.494 0.353
Zn 0.147 0.853 0.250
CELL_PARAMETERS angstrom
5.489 0.170 0.207
2.632 4.820 0.207
1.470 0.903 7.664
! D(E_F)   0.79 states/eV per atom
! Total magnetization   0.00 μB per cell
! Density   8.0 g cm⁻³

---

Which of them is most stable? Easy: w.

---

--- w ---
! PmZn2Ni, relaxed, DFT PBE-GGA; values from VASP
&SYSTEM
  ibrav = 0, nat = 8, ntyp = 3
/
ATOMIC_SPECIES
Pm 145.00 Pm.upf
Zn 65.41 Zn.upf
Ni 58.69 Ni.upf
ATOMIC_POSITIONS crystal
Pm 0.937 0.874 0.250
Zn 0.653 0.305 0.446
Zn 0.347 0.695 0.554
Zn 0.347 0.695 0.946
Ni 0.780 0.560 0.750
Zn 0.653 0.305 0.054
Ni 0.220 0.440 0.250
Pm 0.063 0.126 0.750
CELL_PARAMETERS angstrom
4.043 0.000 0.000
-2.021 4.824 0.000
0.000 0.000 7.381
! D(E_F)   0.52 states/eV per atom
! Total magnetization   0.00 μB per cell
! Density   7.7 g cm⁻³

---

--- x ---
! PmZn2Ni, relaxed, DFT PBE-GGA; values from VASP
&SYSTEM
  ibrav = 0, nat = 4, ntyp = 3
/
ATOMIC_SPECIES
Zn 65.41 Zn.upf
Ni 58.69 Ni.upf
Pm 145.00 Pm.upf
ATOMIC_POSITIONS crystal
Zn 0.206 0.206 0.382
Ni 0.500 0.500 0.500
Pm 0.000 0.000 0.000
Zn 0.794 0.794 0.618
CELL_PARAMETERS angstrom
-0.696 -3.274 -2.488
3.065 -1.472 -2.416
2.214 -4.704 2.076
! D(E_F)   0.75 states/eV per atom
! Total magnetization   0.00 μB per cell
! Density   7.3 g cm⁻³

---

--- y ---
! PmZn2Ni, relaxed, DFT PBE-GGA; values from VASP
&SYSTEM
  ibrav = 0, nat = 4, ntyp = 3
/
ATOMIC_SPECIES
Zn 65.41 Zn.upf
Pm 145.00 Pm.upf
Ni 58.69 Ni.upf
ATOMIC_POSITIONS crystal
Zn 0.250 0.250 0.250
Pm 0.000 0.000 0.000
Zn 0.750 0.750 0.750
Ni 0.500 0.500 0.500
CELL_PARAMETERS angstrom
4.665 0.000 0.000
2.333 4.040 0.000
2.333 1.347 3.809
! D(E_F)   1.50 states/eV per atom
! Total magnetization   0.00 μB per cell
! Density   7.7 g cm⁻³

---

Which of them is most stable? Easy: w.

---

--- w ---
! Pm2Zn5Ni5, relaxed, DFT PBE-GGA; values from VASP
&SYSTEM
  ibrav = 0, nat = 12, ntyp = 3
/
ATOMIC_SPECIES
Pm 145.00 Pm.upf
Zn 65.41 Zn.upf
Ni 58.69 Ni.upf
ATOMIC_POSITIONS crystal
Pm 0.000 0.000 0.500
Zn 0.000 0.500 0.667
Ni 0.500 0.749 0.747
Zn 0.000 0.000 0.175
Pm 0.000 0.500 0.000
Ni 0.500 0.749 0.253
Ni 0.500 0.500 0.500
Ni 0.500 0.251 0.747
Ni 0.500 0.251 0.253
Zn 0.500 0.000 0.000
Zn 0.000 0.000 0.825
Zn 0.000 0.500 0.333
CELL_PARAMETERS angstrom
4.003 0.000 0.000
0.000 5.201 0.000
0.000 0.000 9.020
! D(E_F)   0.75 states/eV per atom
! Total magnetization   0.00 μB per cell
! Density   8.1 g cm⁻³

---

--- x ---
! Pm2Zn5Ni5, relaxed, DFT PBE-GGA; values from VASP
&SYSTEM
  ibrav = 0, nat = 12, ntyp = 3
/
ATOMIC_SPECIES
Zn 65.41 Zn.upf
Ni 58.69 Ni.upf
Pm 145.00 Pm.upf
ATOMIC_POSITIONS crystal
Zn 0.500 0.500 0.500
Ni 0.500 0.000 0.000
Pm 0.000 0.500 0.000
Zn 0.500 0.753 0.756
Pm 0.000 0.000 0.500
Ni 0.000 0.500 0.667
Ni 0.000 0.500 0.333
Ni 0.000 0.000 0.840
Zn 0.500 0.247 0.756
Zn 0.500 0.247 0.244
Zn 0.500 0.753 0.244
Ni 0.000 0.000 0.160
CELL_PARAMETERS angstrom
4.071 0.000 0.000
0.000 5.184 0.000
0.000 0.000 8.905
! D(E_F)   0.59 states/eV per atom
! Total magnetization   0.00 μB per cell
! Density   8.0 g cm⁻³

---

Which of them is most stable? Easy: x.

---

--- w ---
! Pm3Zn2Ni3, relaxed, DFT PBE-GGA; values from VASP
&SYSTEM
  ibrav = 0, nat = 16, ntyp = 3
/
ATOMIC_SPECIES
Zn 65.41 Zn.upf
Ni 58.69 Ni.upf
Pm 145.00 Pm.upf
ATOMIC_POSITIONS crystal
Zn 0.780 0.560 0.920
Ni 0.328 0.656 0.250
Ni 0.672 0.344 0.750
Ni 0.597 0.194 0.461
Ni 0.597 0.194 0.039
Ni 0.403 0.806 0.961
Pm 0.922 0.844 0.110
Pm 0.350 0.701 0.750
Pm 0.650 0.299 0.250
Pm 0.922 0.844 0.390
Ni 0.403 0.806 0.539
Zn 0.220 0.440 0.080
Zn 0.220 0.440 0.420
Pm 0.078 0.156 0.610
Pm 0.078 0.156 0.890
Zn 0.780 0.560 0.580
CELL_PARAMETERS angstrom
-3.922 0.162 -0.651
2.661 -3.032 -4.630
-1.622 -11.855 6.831
! D(E_F)   0.66 states/eV per atom
! Total magnetization   0.00 μB per cell
! Density   7.7 g cm⁻³

---

--- x ---
! Pm3Zn2Ni3, relaxed, DFT PBE-GGA; values from VASP
&SYSTEM
  ibrav = 0, nat = 32, ntyp = 3
/
ATOMIC_SPECIES
Pm 145.00 Pm.upf
Ni 58.69 Ni.upf
Zn 65.41 Zn.upf
ATOMIC_POSITIONS crystal
Pm 0.847 0.547 0.896
Pm 0.383 0.687 0.750
Ni 0.920 0.810 0.038
Pm 0.117 0.187 0.750
Ni 0.420 0.690 0.538
Ni 0.589 0.332 0.750
Zn 0.358 0.393 0.600
Pm 0.347 0.953 0.104
Pm 0.153 0.453 0.396
Pm 0.617 0.313 0.250
Zn 0.142 0.893 0.600
Pm 0.153 0.453 0.104
Zn 0.858 0.107 0.400
Ni 0.920 0.810 0.462
Pm 0.653 0.047 0.896
Ni 0.420 0.690 0.962
Pm 0.347 0.953 0.396
Ni 0.080 0.190 0.962
Ni 0.080 0.190 0.538
Zn 0.642 0.607 0.100
Zn 0.642 0.607 0.400
Ni 0.911 0.832 0.750
Ni 0.411 0.668 0.250
Pm 0.653 0.047 0.604
Zn 0.142 0.893 0.900
Pm 0.883 0.813 0.250
Zn 0.858 0.107 0.100
Pm 0.847 0.547 0.604
Ni 0.580 0.310 0.462
Zn 0.358 0.393 0.900
Ni 0.580 0.310 0.038
Ni 0.089 0.168 0.250
CELL_PARAMETERS angstrom
5.747 0.000 0.000
0.000 7.600 0.000
0.000 0.000 14.741
! D(E_F)   0.73 states/eV per atom
! Total magnetization   0.00 μB per cell
! Density   7.7 g cm⁻³

---

Which of them is most stable? Easy: w.